DFT (PBE) results for an optimized crystal structure of Al2V2Ru.

Lattice parameters (Å, degrees): 3.477 3.477 6.855 75.31 75.31 90.00
Fractional coordinates of all 5 atoms:
Ru (0.000, 0.000, 0.000)
V (0.589, 0.589, 0.823)
V (0.411, 0.411, 0.177)
Al (0.250, 0.750, 0.500)
Al (0.750, 0.250, 0.500)

Summary:
Formation energy ... 416 meV/atom
Spin magnetization ... 0.001 μB per cell
E above lowest polymorph ... 0.503 eV per atom

DFT (PBE) results for an optimized crystal structure of AlV2Ru.

Lattice parameters (Å, degrees): 7.010 7.010 5.562 50.94 50.94 90.00
Fractional coordinates of all 8 atoms:
V (0.663, 0.125, 0.250)
V (0.375, 0.337, 0.750)
V (0.087, 0.625, 0.250)
V (0.875, 0.913, 0.750)
Ru (0.000, 0.000, 0.000)
Ru (0.750, 0.250, 0.500)
Al (0.500, 0.500, 0.000)
Al (0.250, 0.750, 0.500)

Summary:
Formation energy ... 263 meV/atom
Spin magnetization ... 0.000 μB per cell

DFT (PBE) results for an optimized crystal structure of Al2VRu2.

Lattice parameters (Å, degrees): 6.886 6.886 3.065 90.00 90.00 90.00
Fractional coordinates of all 10 atoms:
Ru (0.349, 0.849, 0.000)
Ru (0.849, 0.651, 0.000)
Ru (0.151, 0.349, 0.000)
Ru (0.651, 0.151, 0.000)
Al (0.352, 0.148, 0.500)
Al (0.852, 0.352, 0.500)
Al (0.148, 0.648, 0.500)
Al (0.648, 0.852, 0.500)
V (0.000, 0.000, 0.000)
V (0.500, 0.500, 0.000)

Summary:
Formation energy ... -274 meV/atom
Spin magnetization ... 0.000 μB per cell
E above lowest polymorph ... 0.041 eV per atom

What is the formation energy in the second record?
263 meV/atom

Which formula does entry 1 have?
Al2V2Ru

Copy entry 3 word for word.
DFT (PBE) results for an optimized crystal structure of Al2VRu2.

Lattice parameters (Å, degrees): 6.886 6.886 3.065 90.00 90.00 90.00
Fractional coordinates of all 10 atoms:
Ru (0.349, 0.849, 0.000)
Ru (0.849, 0.651, 0.000)
Ru (0.151, 0.349, 0.000)
Ru (0.651, 0.151, 0.000)
Al (0.352, 0.148, 0.500)
Al (0.852, 0.352, 0.500)
Al (0.148, 0.648, 0.500)
Al (0.648, 0.852, 0.500)
V (0.000, 0.000, 0.000)
V (0.500, 0.500, 0.000)

Summary:
Formation energy ... -274 meV/atom
Spin magnetization ... 0.000 μB per cell
E above lowest polymorph ... 0.041 eV per atom